Entry 1:
The following is a DFT calculation (PBE) of a geometry-optimized K3Bi4Pt2 structure.

a = 7.248 Å, b = 7.248 Å, c = 10.252 Å
α = 99.43°, β = 99.43°, γ = 35.54°
Atoms (fractional coordinates):
K: 0.000 0.000 0.000
K: 0.370 0.370 0.593
K: 0.630 0.630 0.407
Bi: 0.084 0.084 0.672
Bi: 0.287 0.287 0.899
Bi: 0.713 0.713 0.101
Bi: 0.916 0.916 0.328
Pt: 0.334 0.334 0.178
Pt: 0.666 0.666 0.822

Values from the calculation:
Total moment ... 0.000 μB/atom
Space group ... C2/m (12)
Calculated formation energy ... -0.34 eV/atom
Crystal system ... monoclinic

---

Entry 2:
The following is a DFT calculation (PBE) of a geometry-optimized Sr4N3 structure.

a = 3.876 Å, b = 6.538 Å, c = 7.143 Å
α = 115.07°, β = 105.68°, γ = 90.05°
Atoms (fractional coordinates):
Sr: 0.133 0.441 0.265
Sr: 0.360 0.003 0.721
Sr: 0.640 0.997 0.279
Sr: 0.867 0.559 0.735
N: 0.000 0.000 0.000
N: 0.280 0.293 0.562
N: 0.720 0.707 0.438

Values from the calculation:
Total moment ... 0.150 μB/atom
Space group ... P-1 (2)
Formation energy (no corrections) ... -0.40 eV/atom
Crystal system ... triclinic

---

Entry 3:
The following is a DFT calculation (PBE) of a geometry-optimized Na3PuHg4 structure.

a = 3.641 Å, b = 3.641 Å, c = 15.609 Å
α = 90.00°, β = 90.00°, γ = 90.00°
Atoms (fractional coordinates):
Na: 0.000 0.000 0.000
Na: 0.000 0.000 0.247
Na: 0.000 0.000 0.753
Pu: 0.000 0.000 0.500
Hg: 0.500 0.500 0.121
Hg: 0.500 0.500 0.372
Hg: 0.500 0.500 0.628
Hg: 0.500 0.500 0.879

Values from the calculation:
Total moment ... 0.746 μB/atom
Space group ... P4/mmm (123)
Calculated formation energy ... -0.20 eV/atom
Crystal system ... tetragonal

---

Entry 4:
The following is a DFT calculation (PBE) of a geometry-optimized TbPr6In3 structure.

a = 9.614 Å, b = 9.614 Å, c = 7.926 Å
α = 90.00°, β = 90.00°, γ = 111.51°
Atoms (fractional coordinates):
Tb: 0.201 0.799 0.500
Tb: 0.799 0.201 0.000
Pr: 0.046 0.954 0.799
Pr: 0.082 0.456 0.298
Pr: 0.228 0.297 0.984
Pr: 0.297 0.228 0.484
Pr: 0.304 0.696 0.946
Pr: 0.456 0.082 0.798
Pr: 0.544 0.918 0.298
Pr: 0.696 0.304 0.446
Pr: 0.703 0.772 0.984
Pr: 0.772 0.703 0.484
Pr: 0.918 0.544 0.798
Pr: 0.954 0.046 0.299
In: 0.005 0.276 0.656
In: 0.276 0.005 0.156
In: 0.450 0.550 0.265
In: 0.550 0.450 0.765
In: 0.724 0.995 0.656
In: 0.995 0.724 0.156

Values from the calculation:
Total moment ... 0.000 μB/atom
Space group ... Cmc2_1 (36)
Calculated formation energy ... -0.15 eV/atom
Crystal system ... orthorhombic

---

Entry 5:
The following is a DFT calculation (PBE) of a geometry-optimized BaGePdPt structure.

a = 4.289 Å, b = 4.451 Å, c = 10.461 Å
α = 90.00°, β = 90.00°, γ = 90.00°
Atoms (fractional coordinates):
Ba: 0.000 0.000 0.000
Ba: 0.500 0.500 0.500
Ge: 0.000 0.500 0.247
Ge: 0.500 0.000 0.747
Pd: 0.000 0.000 0.361
Pd: 0.500 0.500 0.861
Pt: 0.000 0.000 0.628
Pt: 0.500 0.500 0.128

Values from the calculation:
Total moment ... 0.000 μB/atom
Space group ... Imm2 (44)
Calculated formation energy ... -0.57 eV/atom
Crystal system ... orthorhombic

---

Entry 6:
The following is a DFT calculation (PBE) of a geometry-optimized PmGaF4 structure.

a = 6.491 Å, b = 6.491 Å, c = 5.258 Å
α = 90.00°, β = 90.00°, γ = 90.00°
Atoms (fractional coordinates):
Pm: 0.000 0.000 0.000
Pm: 0.500 0.500 0.500
Ga: 0.000 0.500 0.750
Ga: 0.500 0.000 0.250
F: 0.184 0.200 0.247
F: 0.200 0.816 0.753
F: 0.300 0.684 0.253
F: 0.316 0.300 0.747
F: 0.684 0.700 0.747
F: 0.700 0.316 0.253
F: 0.800 0.184 0.753
F: 0.816 0.800 0.247

Values from the calculation:
Total moment ... 0.000 μB/atom
Space group ... I-4 (82)
Formation energy (no corrections) ... -2.95 eV/atom
Crystal system ... tetragonal

---

Entry 7:
The following is a DFT calculation (PBE) of a geometry-optimized Ho3CdHg3 structure.

a = 8.994 Å, b = 8.994 Å, c = 5.185 Å
α = 90.00°, β = 90.00°, γ = 120.00°
Atoms (fractional coordinates):
Ho: 0.100 0.448 0.250
Ho: 0.348 0.900 0.250
Ho: 0.448 0.348 0.750
Ho: 0.552 0.652 0.250
Ho: 0.652 0.100 0.750
Ho: 0.900 0.552 0.750
Cd: 0.333 0.667 0.750
Cd: 0.667 0.333 0.250
Hg: 0.041 0.249 0.750
Hg: 0.208 0.959 0.750
Hg: 0.249 0.208 0.250
Hg: 0.751 0.792 0.750
Hg: 0.792 0.041 0.250
Hg: 0.959 0.751 0.250

Values from the calculation:
Total moment ... 0.000 μB/atom
Space group ... P6_3/m (176)
Calculated formation energy ... -0.27 eV/atom
Crystal system ... hexagonal

---

Entry 8:
The following is a DFT calculation (PBE) of a geometry-optimized Tb3TmSc3Se8 structure.

a = 7.982 Å, b = 7.982 Å, c = 7.982 Å
α = 59.50°, β = 59.50°, γ = 59.50°
Atoms (fractional coordinates):
Tb: 0.000 0.500 0.500
Tb: 0.500 0.000 0.500
Tb: 0.500 0.500 0.000
Tm: 0.500 0.500 0.500
Sc: 0.000 0.000 0.500
Sc: 0.000 0.500 0.000
Sc: 0.500 0.000 0.000
Se: 0.235 0.754 0.754
Se: 0.244 0.244 0.244
Se: 0.246 0.246 0.765
Se: 0.246 0.765 0.246
Se: 0.754 0.235 0.754
Se: 0.754 0.754 0.235
Se: 0.756 0.756 0.756
Se: 0.765 0.246 0.246

Values from the calculation:
Total moment ... 0.000 μB/atom
Space group ... R-3m (166)
Formation energy (no corrections) ... -1.76 eV/atom
Crystal system ... trigonal

---

Entry 9:
The following is a DFT calculation (PBE) of a geometry-optimized Ba3NaHg6 structure.

a = 8.923 Å, b = 8.923 Å, c = 8.923 Å
α = 97.40°, β = 97.40°, γ = 97.40°
Atoms (fractional coordinates):
Ba: 0.175 0.750 0.325
Ba: 0.250 0.675 0.825
Ba: 0.325 0.175 0.750
Ba: 0.675 0.825 0.250
Ba: 0.750 0.325 0.175
Ba: 0.825 0.250 0.675
Na: 0.000 0.000 0.000
Na: 0.500 0.500 0.500
Hg: 0.021 0.092 0.353
Hg: 0.092 0.353 0.021
Hg: 0.147 0.408 0.479
Hg: 0.353 0.021 0.092
Hg: 0.408 0.479 0.147
Hg: 0.479 0.147 0.408
Hg: 0.521 0.853 0.592
Hg: 0.592 0.521 0.853
Hg: 0.647 0.979 0.908
Hg: 0.853 0.592 0.521
Hg: 0.908 0.647 0.979
Hg: 0.979 0.908 0.647

Values from the calculation:
Total moment ... 0.000 μB/atom
Space group ... R-3c (167)
Calculated formation energy ... -0.39 eV/atom
Crystal system ... trigonal

---

Entry 10:
The following is a DFT calculation (PBE) of a geometry-optimized UHOs3 structure.

a = 4.071 Å, b = 4.071 Å, c = 4.071 Å
α = 90.00°, β = 90.00°, γ = 90.00°
Atoms (fractional coordinates):
U: 0.000 0.000 0.000
H: 0.500 0.500 0.500
Os: 0.000 0.500 0.500
Os: 0.500 0.000 0.500
Os: 0.500 0.500 0.000

Values from the calculation:
Total moment ... 0.000 μB/atom
Space group ... Pm-3m (221)
Crystal system ... cubic

---

Entry 11:
The following is a DFT calculation (PBE) of a geometry-optimized Sr3In4Ga2 structure.

a = 6.381 Å, b = 6.381 Å, c = 9.489 Å
α = 105.65°, β = 105.65°, γ = 45.63°
Atoms (fractional coordinates):
Sr: 0.000 0.000 0.000
Sr: 0.363 0.363 0.318
Sr: 0.637 0.637 0.682
In: 0.097 0.097 0.420
In: 0.281 0.281 0.937
In: 0.719 0.719 0.063
In: 0.903 0.903 0.580
Ga: 0.332 0.332 0.669
Ga: 0.668 0.668 0.331

Values from the calculation:
Total moment ... 0.000 μB/atom
Space group ... C2/m (12)
Calculated formation energy ... -0.42 eV/atom
Crystal system ... monoclinic

---

Entry 12:
The following is a DFT calculation (PBE) of a geometry-optimized Mg5Sc4 structure.

a = 7.200 Å, b = 7.200 Å, c = 7.200 Å
α = 95.66°, β = 95.66°, γ = 143.40°
Atoms (fractional coordinates):
Mg: 0.000 0.000 0.000
Mg: 0.000 0.336 0.336
Mg: 0.000 0.664 0.664
Mg: 0.336 0.000 0.336
Mg: 0.664 0.000 0.664
Sc: 0.335 0.335 0.670
Sc: 0.335 0.665 0.000
Sc: 0.665 0.335 0.000
Sc: 0.665 0.665 0.330

Values from the calculation:
Total moment ... 0.000 μB/atom
Space group ... I4/mmm (139)
Calculated formation energy ... 0.02 eV/atom
Crystal system ... tetragonal

---

Entry 13:
The following is a DFT calculation (PBE) of a geometry-optimized BaMgAg3 structure.

a = 6.075 Å, b = 6.075 Å, c = 6.075 Å
α = 90.00°, β = 90.00°, γ = 90.00°
Atoms (fractional coordinates):
Ba: 0.000 0.000 0.000
Mg: 0.500 0.500 0.500
Ag: 0.000 0.000 0.500
Ag: 0.000 0.500 0.000
Ag: 0.500 0.000 0.000

Values from the calculation:
Total moment ... 0.000 μB/atom
Space group ... Pm-3m (221)
Calculated formation energy ... 0.89 eV/atom
Crystal system ... cubic

---

Entry 14:
The following is a DFT calculation (PBE) of a geometry-optimized InGaCo2Os structure.

a = 4.234 Å, b = 4.234 Å, c = 4.742 Å
α = 90.00°, β = 90.00°, γ = 90.00°
Atoms (fractional coordinates):
In: 0.000 0.000 0.000
Ga: 0.000 0.000 0.500
Co: 0.000 0.500 0.500
Co: 0.500 0.000 0.500
Os: 0.500 0.500 0.000

Values from the calculation:
Total moment ... 0.645 μB/atom
Space group ... P4/mmm (123)
Calculated formation energy ... 1.47 eV/atom
Crystal system ... tetragonal

---

Entry 15:
The following is a DFT calculation (PBE) of a geometry-optimized TbPdS structure.

a = 11.024 Å, b = 4.090 Å, c = 5.534 Å
α = 90.00°, β = 101.65°, γ = 90.00°
Atoms (fractional coordinates):
Tb: 0.149 0.000 0.204
Tb: 0.351 0.500 0.796
Tb: 0.649 0.500 0.204
Tb: 0.851 0.000 0.796
Pd: 0.058 0.500 0.804
Pd: 0.442 0.000 0.196
Pd: 0.558 0.000 0.804
Pd: 0.942 0.500 0.196
S: 0.168 0.000 0.703
S: 0.332 0.500 0.297
S: 0.668 0.500 0.703
S: 0.832 0.000 0.297

Values from the calculation:
Total moment ... 0.000 μB/atom
Space group ... C2/m (12)
Formation energy (no corrections) ... -1.34 eV/atom
Crystal system ... monoclinic

---

Entry 16:
The following is a DFT calculation (PBE) of a geometry-optimized ScTa2Pb structure.

a = 3.129 Å, b = 3.129 Å, c = 29.910 Å
α = 90.00°, β = 90.00°, γ = 120.00°
Atoms (fractional coordinates):
Sc: 0.000 0.000 0.000
Sc: 0.333 0.667 0.667
Sc: 0.667 0.333 0.333
Ta: 0.000 0.000 0.250
Ta: 0.000 0.000 0.750
Ta: 0.333 0.667 0.417
Ta: 0.333 0.667 0.916
Ta: 0.667 0.333 0.084
Ta: 0.667 0.333 0.583
Pb: 0.000 0.000 0.500
Pb: 0.333 0.667 0.167
Pb: 0.667 0.333 0.833

Values from the calculation:
Total moment ... 0.000 μB/atom
Space group ... R-3m (166)
Calculated formation energy ... 0.43 eV/atom
Crystal system ... trigonal

---

Entry 17:
The following is a DFT calculation (PBE) of a geometry-optimized Tm2Th2Sn2C structure.

a = 4.754 Å, b = 4.754 Å, c = 16.346 Å
α = 90.00°, β = 90.00°, γ = 90.00°
Atoms (fractional coordinates):
Tm: 0.000 0.500 0.000
Tm: 0.000 0.500 0.500
Tm: 0.500 0.000 0.000
Tm: 0.500 0.000 0.500
Th: 0.000 0.000 0.161
Th: 0.000 0.000 0.839
Th: 0.500 0.500 0.339
Th: 0.500 0.500 0.661
Sn: 0.000 0.000 0.364
Sn: 0.000 0.000 0.636
Sn: 0.500 0.500 0.136
Sn: 0.500 0.500 0.864
C: 0.000 0.000 0.000
C: 0.500 0.500 0.500

Values from the calculation:
Total moment ... 0.000 μB/atom
Space group ... I4/mmm (139)
Calculated formation energy ... -0.60 eV/atom
Crystal system ... tetragonal

---

Entry 18:
The following is a DFT calculation (PBE) of a geometry-optimized PrSc4 structure.

a = 3.298 Å, b = 5.294 Å, c = 15.280 Å
α = 90.00°, β = 90.00°, γ = 90.00°
Atoms (fractional coordinates):
Pr: 0.000 0.000 0.000
Pr: 0.500 0.500 0.500
Sc: 0.000 0.000 0.397
Sc: 0.000 0.000 0.603
Sc: 0.000 0.500 0.285
Sc: 0.000 0.500 0.715
Sc: 0.500 0.000 0.215
Sc: 0.500 0.000 0.785
Sc: 0.500 0.500 0.103
Sc: 0.500 0.500 0.897

Values from the calculation:
Total moment ... 0.001 μB/atom
Space group ... Immm (71)
Calculated formation energy ... 0.05 eV/atom
Crystal system ... orthorhombic

---

Entry 19:
The following is a DFT calculation (PBE) of a geometry-optimized YbYCdS4 structure.

a = 7.976 Å, b = 7.976 Å, c = 7.976 Å
α = 120.50°, β = 119.74°, γ = 89.80°
Atoms (fractional coordinates):
Yb: 0.500 0.000 0.000
Yb: 0.500 0.500 0.500
Y: 0.000 0.000 0.000
Y: 0.500 0.000 0.500
Cd: 0.123 0.373 0.750
Cd: 0.877 0.627 0.250
S: 0.255 0.242 0.013
S: 0.257 0.243 0.486
S: 0.257 0.770 0.014
S: 0.271 0.758 0.513
S: 0.729 0.242 0.487
S: 0.743 0.230 0.986
S: 0.743 0.757 0.514
S: 0.745 0.758 0.987

Values from the calculation:
Total moment ... 0.083 μB/atom
Space group ... Imma (74)
Formation energy (no corrections) ... -1.48 eV/atom
Crystal system ... orthorhombic

---

Entry 20:
The following is a DFT calculation (PBE) of a geometry-optimized NdZn6Pd12 structure.

a = 7.225 Å, b = 7.225 Å, c = 7.225 Å
α = 106.13°, β = 106.13°, γ = 106.13°
Atoms (fractional coordinates):
Nd: 0.000 0.000 0.000
Zn: 0.279 0.279 0.706
Zn: 0.279 0.706 0.279
Zn: 0.294 0.721 0.721
Zn: 0.706 0.279 0.279
Zn: 0.721 0.294 0.721
Zn: 0.721 0.721 0.294
Pd: 0.118 0.500 0.882
Pd: 0.118 0.882 0.500
Pd: 0.145 0.391 0.391
Pd: 0.391 0.145 0.391
Pd: 0.391 0.391 0.145
Pd: 0.500 0.118 0.882
Pd: 0.500 0.882 0.118
Pd: 0.609 0.609 0.855
Pd: 0.609 0.855 0.609
Pd: 0.855 0.609 0.609
Pd: 0.882 0.118 0.500
Pd: 0.882 0.500 0.118

Values from the calculation:
Total moment ... 0.000 μB/atom
Space group ... R-3m (166)
Calculated formation energy ... -0.37 eV/atom
Crystal system ... trigonal

---

Calculated values (eV/atom) of E_tot for the records, taken in order: -3.769 -4.928 -2.633 -4.302 -5.013 -5.491 -2.496 -6.110 -1.278 -9.754 -2.868 -3.677 -1.526 -4.775 -5.990 -8.003 -6.458 -5.974 -5.113 -4.302.